First-principles (PBE-GGA) data for a relaxed RbCe2Y2O7 crystal, as listed in Alexandria.

Summary:
- Formation energy from raw total energies: -3.10 eV per atom
- Volume: 419.06 Å³ per cell
- DOS at the Fermi energy: 11.18 states/eV per cell
- Spin magnetization: 1.5 Bohr magnetons per cell
- Crystal system: orthorhombic

a b c (Å): 4.6147 19.6789 4.6146
angles (deg): 90.00 90.00 90.00
With the nearest neighbours (Å) after each atom.
Space group Imm2 (No. 44)
Unique sites:
Rb1 0.0000 0.0000 0.0000  12 O 3.26-3.52
Ce1 0.0000 0.3889 0.9994  5 O 2.19-2.35
Y1 0.0000 0.2500 0.4995  6 O 2.26-2.32
O1 0.0000 0.1349 0.4995  1 Y 2.26, 2 Ce 2.35
O2 0.0000 0.2633 0.9995  4 Y 2.32, 1 Ce 2.47
O3 0.0000 0.3650 0.4995  1 Y 2.26, 2 Ce 2.35
O4 0.0000 0.5000 0.9985  2 Ce 2.19